Pr3Si2Pd3, relaxed, DFT PBE; electronic total energy = -5.950 eV/atom
1.0
5.841 0.000 0.000
0.000 7.844 0.000
0.000 0.000 15.356
Pd Pr Si
12 12 8
Direct
0.102 0.164 0.535
0.898 0.836 0.035
0.601 0.312 0.750
0.399 0.688 0.250
0.398 0.664 0.965
0.899 0.812 0.750
0.102 0.164 0.965
0.101 0.188 0.250
0.398 0.664 0.535
0.602 0.336 0.035
0.898 0.836 0.465
0.602 0.336 0.465
0.137 0.472 0.109
0.868 0.840 0.250
0.368 0.660 0.750
0.363 0.972 0.391
0.363 0.972 0.109
0.863 0.528 0.609
0.637 0.028 0.891
0.632 0.340 0.250
0.137 0.472 0.391
0.637 0.028 0.609
0.132 0.160 0.750
0.863 0.528 0.891
0.143 0.873 0.600
0.643 0.627 0.400
0.143 0.873 0.900
0.357 0.373 0.600
0.857 0.127 0.100
0.857 0.127 0.400
0.357 0.373 0.900
0.643 0.627 0.100

=====

NdCd4Pd4, relaxed, DFT PBE; electronic total energy = -3.546 eV/atom; E_form = -2.72 eV/f.u.
1.0
-0.558 0.453 2.997
-9.764 -4.883 -1.079
4.590 -9.691 2.318
Pd Cd Nd
8 8 2
Direct
0.500 0.348 0.292
0.000 0.792 0.152
0.500 0.292 0.652
0.500 0.652 0.708
0.000 0.208 0.848
0.000 0.152 0.208
0.500 0.708 0.348
0.000 0.848 0.792
0.500 0.698 0.961
0.500 0.302 0.039
0.000 0.539 0.198
0.500 0.039 0.698
0.500 0.961 0.302
0.000 0.198 0.461
0.000 0.802 0.539
0.000 0.461 0.802
0.000 0.000 0.000
0.500 0.500 0.500